# Rb2TbAlSe4 (PBE, optimized geometry)
data_Rb2TbAlSe4
_chemical_formula_sum 'Rb8 Tb4 Al4 Se16'
_cell_length_a 8.446
_cell_length_b 8.838
_cell_length_c 12.297
_cell_angle_alpha 90.00
_cell_angle_beta 90.00
_cell_angle_gamma 90.00
_space_group_name_H-M_alt 'I m m a'
_space_group_IT_number 74
_space_group_name_Hall '-I 2b 2'
loop_
_atom_site_label
_atom_site_fract_x
_atom_site_fract_y
_atom_site_fract_z
Rb1 0.000 0.000 0.000
Rb2 0.250 0.250 0.250
Tb1 0.000 0.000 0.500
Al1 0.250 0.250 0.750
Se1 0.000 0.053 0.738
Se2 0.223 0.250 0.527
# magnetization = 0.00 μB per formula unit

---

# Rb4Tb3AlSe8 (PBE, optimized geometry)
data_Rb4Tb3AlSe8
_chemical_formula_sum 'Rb12 Tb9 Al3 Se24'
_cell_length_a 8.3669
_cell_length_b 8.3669
_cell_length_c 23.9652
_cell_angle_alpha 90.00
_cell_angle_beta 90.00
_cell_angle_gamma 120.00
_space_group_name_H-M_alt 'R -3 m'
_space_group_IT_number 166
_space_group_name_Hall '-R 3 2"'
loop_
_atom_site_label
_atom_site_fract_x
_atom_site_fract_y
_atom_site_fract_z
Rb1 0.0000 0.0000 0.0000
Rb2 0.0000 0.5000 0.0000
Tb1 0.0000 0.5000 0.5000
Al1 0.0000 0.0000 0.5000
Se1 0.0000 0.0000 0.2327
Se2 0.0218 0.5109 0.2292
# magnetization = 0.00 μB per formula unit

---

# Rb3Tb3AlSe8 (PBE, optimized geometry)
data_Rb3Tb3AlSe8
_chemical_formula_sum 'Rb9 Tb9 Al3 Se24'
_cell_length_a 8.2120
_cell_length_b 8.2120
_cell_length_c 24.7662
_cell_angle_alpha 90.00
_cell_angle_beta 90.00
_cell_angle_gamma 120.00
_space_group_name_H-M_alt 'R -3 m'
_space_group_IT_number 166
_space_group_name_Hall '-R 3 2"'
loop_
_atom_site_label
_atom_site_fract_x
_atom_site_fract_y
_atom_site_fract_z
Rb1 0.0000 0.5000 0.0000
Tb1 0.0000 0.5000 0.5000
Al1 0.0000 0.0000 0.5000
Se1 0.0000 0.0000 0.2326
Se2 0.0256 0.5128 0.2277
# magnetization = 0.00 μB per formula unit
# DOS(E_F) = 33.43 states/eV per cell

---

| no. | V (Å³/atom) | raw formation energy (meV per atom) |
| --- | --- | --- |
| 1 | 28.69 | -1210 |
| 2 | 30.27 | -1511 |
| 3 | 32.15 | -1447 |